[1]
# AgTe2Os (GGA-PBE, relaxed)
# Distance to the lowest polymorph of the same formula: 0.307 eV per atom
data_AgTe2Os
_chemical_formula_sum 'Ag1 Te2 Os1'
_space_group_name_H-M_alt 'P 4/m m m'
_space_group_IT_number 123
_space_group_name_Hall '-P 4 2'
_cell_length_a 3.242
_cell_length_b 3.242
_cell_length_c 8.131
_cell_angle_alpha 90.00
_cell_angle_beta 90.00
_cell_angle_gamma 90.00
loop_
_atom_site_label
_atom_site_fract_x
_atom_site_fract_y
_atom_site_fract_z
_atom_site_occupancy
Ag1 0.000 0.000 0.000 1
Te1 0.500 0.500 0.289 1
Os1 0.000 0.000 0.500 1

[2]
## AlSbRu2 (GGA-PBE)

Data for crystalline AlSbRu2 at its relaxed geometry.

CIF file:
```
data_AlSbRu2
_chemical_formula_sum 'Al1 Sb1 Ru2'
_space_group_name_H-M_alt 'P m m 2'
_space_group_IT_number 25
_cell_length_a 3.031
_cell_length_b 3.890
_cell_length_c 5.455
_cell_angle_alpha 90.00
_cell_angle_beta 90.00
_cell_angle_gamma 90.00
loop_
_space_group_symop_operation_xyz
'x,y,z'
'-x,-y,z'
'-x,y,z'
'x,-y,z'
loop_
_atom_site_label
_atom_site_fract_x
_atom_site_fract_y
_atom_site_fract_z
_atom_site_occupancy
Al1 0.000 0.000 0.000 1
Sb1 0.500 0.500 0.667 1
Ru1 0.000 0.000 0.474 1
Ru2 0.500 0.500 0.152 1
```

[3]
# Mg17Zn11Os (GGA-PBE, relaxed)
# ΔE_f: -0.064 eV/atom
data_Mg17Zn11Os
_chemical_formula_sum 'Mg34 Zn22 Os2'
_space_group_name_H-M_alt 'C 1 m 1'
_space_group_IT_number 8
_cell_length_a 10.220
_cell_length_b 14.539
_cell_length_c 8.766
_cell_angle_alpha 90.00
_cell_angle_beta 124.53
_cell_angle_gamma 90.00
loop_
_space_group_symop_operation_xyz
'x,y,z'
'x,-y,z'
'x+1/2,y+1/2,z'
'x+1/2,-y+1/2,z'
loop_
_atom_site_label
_atom_site_fract_x
_atom_site_fract_y
_atom_site_fract_z
_atom_site_occupancy
Mg1 0.000 0.000 0.000 1
Mg2 0.002 0.299 0.664 1
Mg3 0.039 0.366 0.355 1
Mg4 0.092 0.500 0.648 1
Mg5 0.198 0.200 0.039 1
Mg6 0.317 0.336 0.349 1
Mg7 0.323 0.000 0.070 1
Mg8 0.326 0.000 0.703 1
Mg9 0.333 0.337 0.766 1
Mg10 0.457 0.152 0.973 1
Mg11 0.484 0.500 0.347 1
Zn1 0.081 0.092 0.727 1
Zn2 0.169 0.183 0.541 1
Zn3 0.225 0.408 0.995 1
Zn4 0.269 0.090 0.360 1
Zn5 0.305 0.500 0.535 1
Zn6 0.494 0.316 0.170 1
Os1 0.135 0.500 0.180 1

[4]
# NdErPd4 (GGA-PBE, relaxed)
# Distance to the lowest polymorph of the same formula: 0.287 eV per atom
# ΔE_f: -0.577 eV/atom
data_NdErPd4
_chemical_formula_sum 'Nd1 Er1 Pd4'
_space_group_name_H-M_alt 'P 4/m m m'
_space_group_IT_number 123
_space_group_name_Hall '-P 4 2'
_cell_length_a 3.951
_cell_length_b 3.951
_cell_length_c 8.600
_cell_angle_alpha 90.00
_cell_angle_beta 90.00
_cell_angle_gamma 90.00
loop_
_atom_site_label
_atom_site_fract_x
_atom_site_fract_y
_atom_site_fract_z
_atom_site_occupancy
Nd1 0.000 0.000 0.000 1
Er1 0.500 0.500 0.500 1
Pd1 0.000 0.500 0.259 1

[5]
# CsLaPt2 (GGA-PBE, relaxed)
# Distance to the lowest polymorph of the same formula: 0.000 eV per atom
# ΔE_f: -0.340 eV/atom
data_CsLaPt2
_chemical_formula_sum 'Cs4 La4 Pt8'
_space_group_name_H-M_alt 'I -4 2 d'
_space_group_IT_number 122
_space_group_name_Hall 'I -4 2bw'
_cell_length_a 8.190
_cell_length_b 8.190
_cell_length_c 8.805
_cell_angle_alpha 90.00
_cell_angle_beta 90.00
_cell_angle_gamma 90.00
loop_
_atom_site_label
_atom_site_fract_x
_atom_site_fract_y
_atom_site_fract_z
_atom_site_occupancy
Cs1 0.000 0.000 0.000 1
La1 0.000 0.000 0.500 1
Pt1 0.184 0.750 0.625 1

[6]
# V3Cr2W2 (GGA-PBE, relaxed)
# Distance to the lowest polymorph of the same formula: 0.000 eV per atom
# ΔE_f: 0.147 eV/atom
data_V3Cr2W2
_chemical_formula_sum 'V6 Cr4 W4'
_space_group_name_H-M_alt 'C m m m'
_space_group_IT_number 65
_space_group_name_Hall '-C 2 2'
_cell_length_a 3.112
_cell_length_b 20.858
_cell_length_c 3.012
_cell_angle_alpha 90.00
_cell_angle_beta 90.00
_cell_angle_gamma 90.00
loop_
_atom_site_label
_atom_site_fract_x
_atom_site_fract_y
_atom_site_fract_z
_atom_site_occupancy
V1 0.000 0.000 0.000 1
V2 0.000 0.150 0.000 1
Cr1 0.000 0.288 0.500 1
W1 0.000 0.426 0.500 1

[7]
# KLa3Ta (GGA-PBE, relaxed)
# Distance to the lowest polymorph of the same formula: 0.000 eV per atom
# ΔE_f: 0.513 eV/atom
data_KLa3Ta
_chemical_formula_sum 'K1 La3 Ta1'
_space_group_name_H-M_alt 'P m -3 m'
_space_group_IT_number 221
_space_group_name_Hall '-P 4 2 3'
_cell_length_a 5.892
_cell_length_b 5.892
_cell_length_c 5.892
_cell_angle_alpha 90.00
_cell_angle_beta 90.00
_cell_angle_gamma 90.00
loop_
_atom_site_label
_atom_site_fract_x
_atom_site_fract_y
_atom_site_fract_z
_atom_site_occupancy
K1 0.000 0.000 0.000 1
La1 0.000 0.500 0.500 1
Ta1 0.500 0.500 0.500 1

[8]
# RbLiBAu2 (GGA-PBE, relaxed)
# Distance to the lowest polymorph of the same formula: 0.000 eV per atom
# ΔE_f: 0.063 eV/atom
data_RbLiBAu2
_chemical_formula_sum 'Rb1 Li1 B1 Au2'
_space_group_name_H-M_alt 'P 4/m m m'
_space_group_IT_number 123
_space_group_name_Hall '-P 4 2'
_cell_length_a 4.524
_cell_length_b 4.524
_cell_length_c 4.941
_cell_angle_alpha 90.00
_cell_angle_beta 90.00
_cell_angle_gamma 90.00
loop_
_atom_site_label
_atom_site_fract_x
_atom_site_fract_y
_atom_site_fract_z
_atom_site_occupancy
Rb1 0.000 0.000 0.000 1
Li1 0.500 0.500 0.000 1
B1 0.500 0.500 0.500 1
Au1 0.000 0.500 0.500 1

| no. | total DFT energy (no corrections) (eV/atom) | size of the total moment (μB per formula unit) |
| --- | --- | --- |
| 1 | -4.562 | 0.0 |
| 2 | -6.727 | 0.0 |
| 3 | -1.869 | 0.0 |
| 4 | -5.594 | 0.0 |
| 5 | -4.806 | 0.0 |
| 6 | -10.212 | 0.0 |
| 7 | -5.034 | 0.0 |
| 8 | -3.160 | 0.0 |